(1)
Cu2POs: optimized geometry, PBE.

a b c (Å): 8.247 8.247 8.247
angles (deg): 19.06 19.06 19.06
Sites, in units of the cell vectors:
Cu 0.244 0.244 0.244
Cu 0.756 0.756 0.756
P 0.500 0.500 0.500
Os 0.000 0.000 0.000

Summary:
The formation energy comes out at 1.258 eV per formula unit. As for the density of states at the Fermi level: 2.804 states/eV per cell. For the total energy, the calculation gives -0.43316 Ry per atom. The symmetry is No. 166.

***

(2)
ThTi4Sb4: optimized geometry, PBE.

a b c (Å): 6.822 6.822 6.822
angles (deg): 98.09 98.09 135.94
Sites, in units of the cell vectors:
Th 0.000 0.000 0.000
Ti 0.084 0.376 0.460
Ti 0.376 0.916 0.292
Ti 0.624 0.084 0.708
Ti 0.916 0.624 0.540
Sb 0.248 0.630 0.878
Sb 0.370 0.248 0.618
Sb 0.630 0.752 0.382
Sb 0.752 0.370 0.122

Summary:
The calculation puts the uncorrected formation energy at -0.35 eV per atom. As for the density of states at the Fermi level: 6.548 states/eV per cell. For the total energy, the calculation gives -0.47902 Ry per atom. The symmetry is No. 87.

***

(3)
Rb2ICl5: optimized geometry, PBE.

a b c (Å): 6.603 6.603 7.962
angles (deg): 110.94 110.94 84.55
Sites, in units of the cell vectors:
Rb 0.000 0.000 0.000
Rb 0.516 0.516 0.295
I 0.258 0.258 0.648
Cl 0.046 0.449 0.873
Cl 0.067 0.470 0.424
Cl 0.449 0.046 0.873
Cl 0.470 0.067 0.424
Cl 0.761 0.761 0.152

Summary:
As for the offset from the most stable computed form: 37.1 meV/atom. The calculation puts the uncorrected formation energy at -1.05 eV per atom. As for the density of states at the Fermi level: 0.000 states/eV per cell. For the total energy, the calculation gives -0.19415 Ry per atom. The symmetry is No. 8.

***

(4)
CsRb2SnCl8: optimized geometry, PBE.

a b c (Å): 5.855 7.210 9.750
angles (deg): 90.04 105.82 90.02
Sites, in units of the cell vectors:
Cs 0.000 0.000 0.000
Rb 0.348 0.500 0.691
Rb 0.652 0.500 0.309
Sn 0.000 0.000 0.500
Cl 0.177 0.754 0.385
Cl 0.178 0.245 0.385
Cl 0.241 0.500 0.002
Cl 0.338 0.000 0.719
Cl 0.662 0.000 0.281
Cl 0.759 0.500 0.998
Cl 0.822 0.755 0.615
Cl 0.823 0.246 0.615

Summary:
The calculation puts the uncorrected formation energy at -1.40 eV per atom. As for the density of states at the Fermi level: 1.493 states/eV per cell. For the total energy, the calculation gives -0.23480 Ry per atom. The symmetry is No. 2.

***

(5)
K3Cd4Sn2: optimized geometry, PBE.

a b c (Å): 6.565 6.565 10.027
angles (deg): 111.24 111.24 47.05
Sites, in units of the cell vectors:
K 0.000 0.000 0.000
K 0.318 0.318 0.349
K 0.682 0.682 0.651
Cd 0.036 0.036 0.374
Cd 0.311 0.311 0.972
Cd 0.689 0.689 0.028
Cd 0.964 0.964 0.626
Sn 0.431 0.431 0.753
Sn 0.569 0.569 0.247

Summary:
As for the offset from the most stable computed form: 24.4 meV/atom. The formation energy comes out at -0.997 eV per formula unit. As for the density of states at the Fermi level: 4.030 states/eV per cell. For the total energy, the calculation gives -0.13030 Ry per atom. The symmetry is No. 12.

***

(6)
Cs2SiPt: optimized geometry, PBE.

a b c (Å): 9.595 9.595 9.595
angles (deg): 93.29 93.29 152.28
Sites, in units of the cell vectors:
Cs 0.375 0.200 0.325
Cs 0.800 0.125 0.175
Cs 0.875 0.050 0.675
Cs 0.950 0.625 0.825
Si 0.250 0.750 0.500
Si 0.500 0.500 0.000
Pt 0.000 0.000 0.000
Pt 0.750 0.250 0.500

Summary:
The calculation puts the uncorrected formation energy at -0.18 eV per atom. As for the density of states at the Fermi level: 3.843 states/eV per cell. For the total energy, the calculation gives -0.25495 Ry per atom. The symmetry is No. 122.

***

(7)
Ho5Tm4Mg2: optimized geometry, PBE.

a b c (Å): 3.457 8.041 11.917
angles (deg): 90.43 90.02 102.35
Sites, in units of the cell vectors:
Ho 0.000 0.000 0.000
Ho 0.256 0.512 0.628
Ho 0.318 0.634 0.901
Ho 0.682 0.366 0.099
Ho 0.744 0.488 0.372
Tm 0.053 0.106 0.294
Tm 0.369 0.738 0.183
Tm 0.631 0.262 0.817
Tm 0.947 0.894 0.706
Mg 0.412 0.826 0.456
Mg 0.588 0.174 0.544

Summary:
As for the offset from the most stable computed form: 0.0 meV/atom. The formation energy comes out at 0.191 eV per formula unit. As for the density of states at the Fermi level: 13.485 states/eV per cell. For the total energy, the calculation gives -0.29248 Ry per atom. The symmetry is No. 2.

***

(8)
K2Mg2Te3: optimized geometry, PBE.

a b c (Å): 12.090 12.090 7.893
angles (deg): 108.85 108.85 83.93
Sites, in units of the cell vectors:
K 0.064 0.936 0.750
K 0.215 0.785 0.250
K 0.308 0.484 0.402
K 0.484 0.308 0.902
K 0.516 0.692 0.098
K 0.692 0.516 0.598
K 0.785 0.215 0.750
K 0.936 0.064 0.250
Mg 0.042 0.575 0.738
Mg 0.144 0.299 0.798
Mg 0.299 0.144 0.298
Mg 0.425 0.958 0.762
Mg 0.575 0.042 0.238
Mg 0.701 0.856 0.702
Mg 0.856 0.701 0.202
Mg 0.958 0.425 0.262
Te 0.068 0.649 0.446
Te 0.089 0.238 0.082
Te 0.238 0.089 0.582
Te 0.264 0.511 0.933
Te 0.351 0.932 0.054
Te 0.489 0.736 0.567
Te 0.511 0.264 0.433
Te 0.649 0.068 0.946
Te 0.736 0.489 0.067
Te 0.762 0.911 0.418
Te 0.911 0.762 0.918
Te 0.932 0.351 0.554

Summary:
The calculation puts the uncorrected formation energy at -1.00 eV per atom. As for the density of states at the Fermi level: 0.000 states/eV per cell. For the total energy, the calculation gives -0.22927 Ry per atom. The symmetry is No. 15.

***

(9)
InTcCl2: optimized geometry, PBE.

a b c (Å): 5.053 5.053 5.053
angles (deg): 60.00 60.00 60.00
Sites, in units of the cell vectors:
In 0.000 0.000 0.000
Tc 0.500 0.500 0.500
Cl 0.250 0.250 0.250
Cl 0.750 0.750 0.750

Summary:
As for the offset from the most stable computed form: 652.7 meV/atom. The calculation puts the uncorrected formation energy at 0.37 eV per atom. As for the density of states at the Fermi level: 3.858 states/eV per cell. For the total energy, the calculation gives -0.28142 Ry per atom. The symmetry is No. 225.

***

(10)
Ac2Pm2CoPt2: optimized geometry, PBE.

a b c (Å): 7.428 7.428 7.985
angles (deg): 118.42 118.42 32.00
Sites, in units of the cell vectors:
Ac 0.041 0.041 0.278
Ac 0.959 0.959 0.722
Pm 0.291 0.291 0.215
Pm 0.709 0.709 0.785
Co 0.500 0.500 0.500
Pt 0.379 0.379 0.947
Pt 0.621 0.621 0.053

Summary:
The formation energy comes out at -4.407 eV per formula unit. As for the density of states at the Fermi level: 5.026 states/eV per cell. For the total energy, the calculation gives -0.43378 Ry per atom. The symmetry is No. 12.

***

(11)
TlPIr2: optimized geometry, PBE.

a b c (Å): 2.994 3.496 7.025
angles (deg): 90.00 94.44 90.00
Sites, in units of the cell vectors:
Tl 0.000 0.000 0.000
P 0.500 0.000 0.500
Ir 0.302 0.500 0.310
Ir 0.698 0.500 0.690

Summary:
As for the offset from the most stable computed form: 195.6 meV/atom. The formation energy comes out at 0.999 eV per formula unit. As for the density of states at the Fermi level: 1.206 states/eV per cell. For the total energy, the calculation gives -0.45017 Ry per atom. The symmetry is No. 10.

***

(12)
BiTeAsI2: optimized geometry, PBE.

a b c (Å): 6.072 6.072 6.222
angles (deg): 90.00 90.00 90.00
Sites, in units of the cell vectors:
Bi 0.000 0.000 0.000
Te 0.000 0.000 0.500
As 0.500 0.500 0.500
I 0.000 0.500 0.000
I 0.500 0.000 0.000

Summary:
As for the offset from the most stable computed form: 229.9 meV/atom. The calculation puts the uncorrected formation energy at 0.55 eV per atom. As for the density of states at the Fermi level: 2.905 states/eV per cell. For the total energy, the calculation gives -0.17661 Ry per atom. The symmetry is No. 123.

***

(13)
AgPb3O: optimized geometry, PBE.

a b c (Å): 5.013 5.013 5.013
angles (deg): 90.00 90.00 90.00
Sites, in units of the cell vectors:
Ag 0.000 0.000 0.000
Pb 0.000 0.500 0.500
Pb 0.500 0.000 0.500
Pb 0.500 0.500 0.000
O 0.500 0.500 0.500

Summary:
As for the offset from the most stable computed form: 0.0 meV/atom. The calculation puts the uncorrected formation energy at -0.17 eV per atom. As for the density of states at the Fermi level: 4.416 states/eV per cell. For the total energy, the calculation gives -0.29096 Ry per atom. The symmetry is No. 221.

***

(14)
La2PrSm7: optimized geometry, PBE.

a b c (Å): 5.184 7.321 9.717
angles (deg): 78.78 74.55 89.93
Sites, in units of the cell vectors:
La 0.199 0.100 0.102
La 0.801 0.900 0.898
Pr 0.000 0.500 0.500
Sm 0.000 0.000 0.500
Sm 0.199 0.599 0.101
Sm 0.400 0.699 0.700
Sm 0.401 0.201 0.698
Sm 0.599 0.799 0.302
Sm 0.600 0.301 0.300
Sm 0.801 0.401 0.899

Summary:
As for the offset from the most stable computed form: 0.0 meV/atom. The formation energy comes out at 0.182 eV per formula unit. As for the density of states at the Fermi level: 16.269 states/eV per cell. For the total energy, the calculation gives -0.34902 Ry per atom. The symmetry is No. 2.

***

(15)
LiY4Rh: optimized geometry, PBE.

a b c (Å): 6.207 6.207 6.207
angles (deg): 60.00 60.00 60.00
Sites, in units of the cell vectors:
Li 0.000 0.000 0.000
Y 0.377 0.377 0.377
Y 0.377 0.377 0.870
Y 0.377 0.870 0.377
Y 0.870 0.377 0.377
Rh 0.750 0.750 0.750

Summary:
As for the offset from the most stable computed form: 639.8 meV/atom. The formation energy comes out at 3.706 eV per formula unit. As for the density of states at the Fermi level: 10.435 states/eV per cell. For the total energy, the calculation gives -0.38484 Ry per atom. The symmetry is No. 216.

***

(16)
Nd2Er5Tm3: optimized geometry, PBE.

a b c (Å): 8.989 8.989 9.614
angles (deg): 106.67 106.67 105.87
Sites, in units of the cell vectors:
Nd 0.044 0.293 0.045
Nd 0.293 0.044 0.545
Nd 0.707 0.956 0.455
Nd 0.956 0.707 0.955
Er 0.035 0.965 0.750
Er 0.083 0.328 0.682
Er 0.252 0.748 0.750
Er 0.328 0.083 0.182
Er 0.500 0.500 0.250
Er 0.500 0.500 0.750
Er 0.672 0.917 0.818
Er 0.748 0.252 0.250
Er 0.917 0.672 0.318
Er 0.965 0.035 0.250
Tm 0.201 0.457 0.422
Tm 0.273 0.727 0.250
Tm 0.457 0.201 0.922
Tm 0.543 0.799 0.078
Tm 0.727 0.273 0.750
Tm 0.799 0.543 0.578

Summary:
As for the offset from the most stable computed form: 0.0 meV/atom. The formation energy comes out at 2.153 eV per formula unit. As for the density of states at the Fermi level: 34.333 states/eV per cell. For the total energy, the calculation gives -0.32054 Ry per atom. The symmetry is No. 15.

***

(17)
PmPrI4: optimized geometry, PBE.

a b c (Å): 7.528 7.528 7.528
angles (deg): 130.65 130.65 72.36
Sites, in units of the cell vectors:
Pm 0.000 0.000 0.000
Pr 0.750 0.250 0.500
I 0.016 0.516 0.500
I 0.263 0.263 0.000
I 0.484 0.984 0.500
I 0.737 0.737 0.000

Summary:
As for the offset from the most stable computed form: 82.9 meV/atom. The calculation puts the uncorrected formation energy at -1.21 eV per atom. As for the density of states at the Fermi level: 3.102 states/eV per cell. For the total energy, the calculation gives -0.28169 Ry per atom. The symmetry is No. 119.

***

(18)
IrRu5: optimized geometry, PBE.

a b c (Å): 3.813 8.152 5.422
angles (deg): 90.00 90.15 90.00
Sites, in units of the cell vectors:
Ir 0.250 0.250 0.125
Ir 0.750 0.750 0.875
Ru 0.250 0.250 0.626
Ru 0.250 0.582 0.624
Ru 0.250 0.584 0.127
Ru 0.250 0.916 0.127
Ru 0.250 0.918 0.624
Ru 0.750 0.082 0.376
Ru 0.750 0.084 0.873
Ru 0.750 0.416 0.873
Ru 0.750 0.418 0.376
Ru 0.750 0.750 0.374

Summary:
As for the offset from the most stable computed form: 109.9 meV/atom. The formation energy comes out at 0.432 eV per formula unit. As for the density of states at the Fermi level: 13.896 states/eV per cell. For the total energy, the calculation gives -0.67139 Ry per atom. The symmetry is No. 11.

***

(19)
CaAcCdIn: optimized geometry, PBE.

a b c (Å): 5.644 5.644 5.644
angles (deg): 60.00 60.00 60.00
Sites, in units of the cell vectors:
Ca 0.000 0.000 0.000
Ac 0.500 0.500 0.500
Cd 0.750 0.750 0.750
In 0.250 0.250 0.250

Summary:
The formation energy comes out at -1.709 eV per formula unit. As for the density of states at the Fermi level: 2.018 states/eV per cell. For the total energy, the calculation gives -0.21081 Ry per atom. The symmetry is No. 216.